## A
First-principles (PBE) data for TbInPd6 after structural relaxation, as listed in the Alexandria database.

a b c (Å): 4.9631 4.9631 7.3037
angles (deg): 105.08 105.08 66.00
Fractional positions:
Tb 0.0000 0.0000 0.0000
In 0.5000 0.5000 0.5000
Pd 0.0409 0.5575 0.2021
Pd 0.1420 0.1420 0.4374
Pd 0.4425 0.9591 0.7979
Pd 0.5575 0.0409 0.2021
Pd 0.8580 0.8580 0.5626
Pd 0.9591 0.4425 0.7979

Calculated density, g cm⁻³: 9.69

## B
First-principles (PBE) data for TbInPd6 after structural relaxation, as listed in the Alexandria database.

a b c (Å): 4.0890 4.0890 8.1711
angles (deg): 90.00 90.00 90.00
Fractional positions:
Tb 0.0000 0.0000 0.0000
In 0.0000 0.0000 0.5000
Pd 0.0000 0.5000 0.2567
Pd 0.0000 0.5000 0.7433
Pd 0.5000 0.0000 0.2567
Pd 0.5000 0.0000 0.7433
Pd 0.5000 0.5000 0.0000
Pd 0.5000 0.5000 0.5000

Calculated density, g cm⁻³: 11.09

Short version: B is the most stable of them.

## A
First-principles (PBE) data for Tb12InPd6 after structural relaxation, as listed in the Alexandria database.

a b c (Å): 8.6687 8.6687 8.6687
angles (deg): 109.47 109.47 109.47
Fractional positions:
Tb 0.1136 0.2972 0.8164
Tb 0.1836 0.4809 0.2972
Tb 0.1836 0.8864 0.7028
Tb 0.2972 0.1836 0.4809
Tb 0.2972 0.8164 0.1136
Tb 0.4809 0.2972 0.1836
Tb 0.5191 0.7028 0.8164
Tb 0.7028 0.1836 0.8864
Tb 0.7028 0.8164 0.5191
Tb 0.8164 0.1136 0.2972
Tb 0.8164 0.5191 0.7028
Tb 0.8864 0.7028 0.1836
In 0.0000 0.0000 0.0000
Pd 0.1362 0.5000 0.6362
Pd 0.3638 0.8638 0.5000
Pd 0.5000 0.3638 0.8638
Pd 0.5000 0.6362 0.1362
Pd 0.6362 0.1362 0.5000
Pd 0.8638 0.5000 0.3638

Calculated density, g cm⁻³: 8.81

## B
First-principles (PBE) data for Tb12InPd6 after structural relaxation, as listed in the Alexandria database.

a b c (Å): 8.7322 8.7322 8.7322
angles (deg): 108.85 108.85 108.85
Fractional positions:
Tb 0.0560 0.3527 0.1176
Tb 0.1176 0.0560 0.3527
Tb 0.1747 0.4673 0.6409
Tb 0.3527 0.1176 0.0560
Tb 0.3591 0.8253 0.5327
Tb 0.4673 0.6409 0.1747
Tb 0.5327 0.3591 0.8253
Tb 0.6409 0.1747 0.4673
Tb 0.6473 0.8824 0.9440
Tb 0.8253 0.5327 0.3591
Tb 0.8824 0.9440 0.6473
Tb 0.9440 0.6473 0.8824
In 0.5000 0.5000 0.5000
Pd 0.1481 0.7911 0.7188
Pd 0.2089 0.2812 0.8519
Pd 0.2812 0.8519 0.2089
Pd 0.7188 0.1481 0.7911
Pd 0.7911 0.7188 0.1481
Pd 0.8519 0.2089 0.2812

Calculated density, g cm⁻³: 8.43

Short version: A is the most stable of them.

## A
First-principles (PBE) data for Tb2In3Pd4 after structural relaxation, as listed in the Alexandria database.

a b c (Å): 4.7990 4.7990 9.1715
angles (deg): 90.35 90.35 60.20
Fractional positions:
Tb 0.1660 0.1660 0.2819
Tb 0.8340 0.8340 0.7181
In 0.1683 0.1683 0.9112
In 0.5000 0.5000 0.5000
In 0.8317 0.8317 0.0888
Pd 0.1671 0.1671 0.5954
Pd 0.4979 0.4979 0.1508
Pd 0.5021 0.5021 0.8492
Pd 0.8329 0.8329 0.4046

Calculated density, g cm⁻³: 9.86

## B
First-principles (PBE) data for Tb2In3Pd4 after structural relaxation, as listed in the Alexandria database.

a b c (Å): 9.0077 9.0077 7.4216
angles (deg): 90.00 90.00 141.42
Fractional positions:
Tb 0.1024 0.8976 0.9141
Tb 0.3976 0.6024 0.4141
Tb 0.6024 0.3976 0.5859
Tb 0.8976 0.1024 0.0859
In 0.0000 0.0000 0.5000
In 0.0131 0.4869 0.7500
In 0.4869 0.0131 0.2500
In 0.5000 0.5000 0.0000
In 0.5131 0.9869 0.7500
In 0.9869 0.5131 0.2500
Pd 0.1634 0.8366 0.5270
Pd 0.1772 0.3228 0.7500
Pd 0.3228 0.1772 0.2500
Pd 0.3366 0.6634 0.0270
Pd 0.6634 0.3366 0.9730
Pd 0.6772 0.8228 0.7500
Pd 0.8228 0.6772 0.2500
Pd 0.8366 0.1634 0.4730

Calculated density, g cm⁻³: 9.62

Short version: A is the most stable of them.

## A
First-principles (PBE) data for InTe3Pd after structural relaxation, as listed in the Alexandria database.

a b c (Å): 5.3803 5.3803 5.3803
angles (deg): 90.00 90.00 90.00
Fractional positions:
In 0.0000 0.0000 0.0000
Te 0.0000 0.5000 0.5000
Te 0.5000 0.0000 0.5000
Te 0.5000 0.5000 0.0000
Pd 0.5000 0.5000 0.5000

Calculated density, g cm⁻³: 6.44

## B
First-principles (PBE) data for InTe3Pd after structural relaxation, as listed in the Alexandria database.

a b c (Å): 7.6530 7.6530 7.6530
angles (deg): 56.48 56.48 56.48
Fractional positions:
In 0.1197 0.1197 0.1197
In 0.8803 0.8803 0.8803
Te 0.0657 0.7020 0.4790
Te 0.2980 0.5210 0.9343
Te 0.4790 0.0657 0.7020
Te 0.5210 0.9343 0.2980
Te 0.7020 0.4790 0.0657
Te 0.9343 0.2980 0.5210
Pd 0.3399 0.3399 0.3399
Pd 0.6601 0.6601 0.6601

Calculated density, g cm⁻³: 6.89

Short version: B is the most stable of them.

## A
First-principles (PBE) data for InTePd3 after structural relaxation, as listed in the Alexandria database.

a b c (Å): 5.0088 5.0088 5.0088
angles (deg): 90.00 90.00 90.00
Fractional positions:
In 0.0000 0.0000 0.0000
Te 0.5000 0.5000 0.5000
Pd 0.0000 0.5000 0.5000
Pd 0.5000 0.0000 0.5000
Pd 0.5000 0.5000 0.0000

Calculated density, g cm⁻³: 7.42

## B
First-principles (PBE) data for InTePd3 after structural relaxation, as listed in the Alexandria database.

a b c (Å): 8.7346 8.7346 3.2815
angles (deg): 90.00 90.00 127.53
Fractional positions:
In 0.0000 0.0000 0.0000
In 0.5000 0.5000 0.5000
Te 0.0000 0.5000 0.0000
Te 0.5000 0.0000 0.0000
Pd 0.0901 0.2990 0.5000
Pd 0.2990 0.0901 0.5000
Pd 0.3623 0.6377 0.0000
Pd 0.6377 0.3623 0.0000
Pd 0.7010 0.9099 0.5000
Pd 0.9099 0.7010 0.5000

Calculated density, g cm⁻³: 9.39

Short version: B is the most stable of them.

## A
First-principles (PBE) data for InTePd after structural relaxation, as listed in the Alexandria database.

a b c (Å): 4.2391 4.2391 4.7733
angles (deg): 90.00 90.00 120.00
Fractional positions:
In 0.0000 0.0000 0.0000
Te 0.6667 0.3333 0.4656
Pd 0.3333 0.6667 0.7130

Calculated density, g cm⁻³: 7.80

## B
First-principles (PBE) data for InTePd after structural relaxation, as listed in the Alexandria database.

a b c (Å): 5.2396 4.2956 7.0420
angles (deg): 90.00 108.10 90.00
Fractional positions:
In 0.0000 0.0000 0.0000
In 0.3682 0.5000 0.4012
Te 0.5669 0.5000 0.9470
Te 0.9920 0.0000 0.5178
Pd 0.5165 0.0000 0.2120
Pd 0.5701 0.0000 0.6515

Calculated density, g cm⁻³: 7.69

Short version: B is the most stable of them.